A.
Compound: CrAgH3
Source: Alexandria
Functional: PBE
Structure: relaxed

The space group is Pm-3m (No. 221) and the conventional cell measures 3.510, 3.510 and 3.510 Å, with angles of 90.00, 90.00 and 90.00 degrees. The inequivalent atoms are Cr at (0.000, 0.000, 0.000), Ag at (0.500, 0.500, 0.500) and H at (0.000, 0.000, 0.500).

As for the density of states at the Fermi level: 1.283 states/eV/f.u. The mass density is 6.25 Mg/m³.

---

B.
Compound: CrAgH3
Source: Alexandria
Functional: PBE
Structure: relaxed

The space group is Pm-3m (No. 221) and the conventional cell measures 3.654, 3.654 and 3.654 Å, with angles of 90.00, 90.00 and 90.00 degrees. The inequivalent atoms are Cr at (0.000, 0.000, 0.000), Ag at (0.500, 0.500, 0.500) and H at (0.000, 0.500, 0.500).

As for the density of states at the Fermi level: 1.364 states/eV/f.u. The mass density is 5.55 Mg/m³.

---

Stability ranking, top entry: A; the second entry is 0.342 eV/atom less favorable.